This record from Alexandria via LeMat-Bulk describes crystalline Mg2ZnMo at its relaxed geometry. The functional is PBEsol.

Lattice parameters (Å, degrees): 2.7823 2.7823 8.8273 90.00 90.00 90.00
Space group P4mm (No. 99)
Asymmetric unit:
Mg: 0.0000 0.0000 0.0000
Mg: 0.5000 0.5000 0.2971
Zn: 0.5000 0.5000 0.7624
Mo: 0.0000 0.0000 0.5431

Computed properties:
Density ... 5.1 g cm⁻³
Energy relative to the elements ... 196.7 meV/atom
V ... 17.1 Å³ per atom
Magnetization ... 0.00 μB/f.u.
E_tot ... -4.00 eV per atom